PmCr2WO8: relaxed, PBE+U.

Output
Size of the total moment ... 4.98 μB/f.u.
Symmetry ... P2/m (10)
Final energy ... -0.56237 Ry per atom

abc: 4.758 6.490 4.761
angles: 90.00 91.52 90.00
Element x y z (fractional)
Pm: 0.000 0.000 0.000
Cr: 0.500 0.251 0.500
Cr: 0.500 0.749 0.500
W: 0.000 0.500 0.000
O: 0.204 0.287 0.203
O: 0.204 0.713 0.203
O: 0.296 0.500 0.703
O: 0.330 0.000 0.668
O: 0.670 0.000 0.332
O: 0.704 0.500 0.297
O: 0.796 0.287 0.797
O: 0.796 0.713 0.797